(1)
Compound: Ba2MgNiPt
Source: Alexandria
Functional: PBE
Structure: relaxed

```
Ba2MgNiPt
1.0
6.2146 0.0000 0.0000
0.0000 6.2146 0.0000
0.0000 0.0000 4.4504
Ba Mg Ni Pt
2 1 1 1
Cartesian
0.0000 3.1073 0.0000
3.1073 0.0000 0.0000
0.0000 0.0000 0.0000
0.0000 0.0000 2.2252
3.1073 3.1073 2.2252
```

Computed properties:
Density: 5.3 g/cm3
Space group: P4/mmm
Formation energy: 0.42 eV per atom
Density of states at the Fermi level: 0.45 states/eV/atom



(2)
Compound: RbBa2MgNi
Source: Alexandria
Functional: PBE
Structure: relaxed

```
RbBa2MgNi
1.0
6.2010 0.0000 0.0000
0.0000 6.2010 0.0000
0.0000 0.0000 5.4448
Rb Ba Mg Ni
1 2 1 1
Cartesian
0.0000 0.0000 0.0000
0.0000 3.1005 2.7224
3.1005 0.0000 2.7224
3.1005 3.1005 0.0000
3.1005 3.1005 2.7224
```

Computed properties:
Density: 3.5 g/cm3
Space group: P4/mmm
Formation energy: 0.10 eV per atom
Density of states at the Fermi level: 0.83 states/eV/atom



(3)
Compound: BaMg2SiNi
Source: Alexandria
Functional: PBE
Structure: relaxed

```
BaMg2SiNi
1.0
4.9888 0.0000 0.0000
0.0000 4.9888 0.0000
0.0000 0.0000 4.5597
Ba Mg Si Ni
1 2 1 1
Cartesian
0.0000 0.0000 0.0000
0.0000 2.4944 2.2799
2.4944 0.0000 2.2799
2.4944 2.4944 0.0000
2.4944 2.4944 2.2799
```

Computed properties:
Density: 4.0 g/cm3
Space group: P4/mmm
Density of states at the Fermi level: 0.65 states/eV/atom
ΔE_f (raw): -183 meV/atom



(4)
Compound: BaMgNiSn2
Source: Alexandria
Functional: PBE
Structure: relaxed

```
BaMgNiSn2
1.0
5.1247 0.0000 0.0000
0.0000 5.1247 0.0000
0.0000 0.0000 5.0488
Ba Mg Ni Sn
1 1 1 2
Cartesian
0.0000 0.0000 0.0000
2.5624 2.5624 0.0000
2.5624 2.5624 2.5244
0.0000 2.5624 2.5244
2.5624 0.0000 2.5244
```

Computed properties:
Excess energy over the best structure of this formula in the dataset: 0.000 eV/atom
Density: 5.7 g/cm3
Space group: P4/mmm
Formation energy: -0.29 eV per atom
Density of states at the Fermi level: 0.59 states/eV/atom



(5)
Compound: BaMgNiSn2
Source: Alexandria
Functional: PBE
Structure: relaxed

```
BaMgNiSn2
1.0
5.0941 0.0000 0.0000
0.0000 5.0941 0.0000
0.0000 0.0000 5.5601
Ba Mg Ni Sn
1 1 1 2
Cartesian
0.0000 0.0000 0.0000
2.5471 2.5471 0.0000
0.0000 0.0000 2.7800
0.0000 2.5471 2.7800
2.5471 0.0000 2.7800
```

Computed properties:
Excess energy over the best structure of this formula in the dataset: 0.200 eV/atom
Density: 5.3 g/cm3
Space group: P4/mmm
Formation energy: -0.09 eV per atom
Density of states at the Fermi level: 0.45 states/eV/atom



(6)
Compound: BaMg2NiSn
Source: Alexandria
Functional: PBE
Structure: relaxed

```
BaMg2NiSn
1.0
5.0752 0.0000 0.0000
0.0000 5.0752 0.0000
0.0000 0.0000 4.9902
Ba Mg Ni Sn
1 2 1 1
Cartesian
0.0000 0.0000 0.0000
0.0000 2.5376 2.4951
2.5376 0.0000 2.4951
2.5376 2.5376 2.4951
2.5376 2.5376 0.0000
```

Computed properties:
Density: 4.7 g/cm3
Space group: P4/mmm
Formation energy: -0.27 eV per atom
Density of states at the Fermi level: 0.66 states/eV/atom



(7)
Compound: Ba2SrMgNi
Source: Alexandria
Functional: PBE
Structure: relaxed

```
Ba2SrMgNi
1.0
6.1349 0.0000 0.0000
0.0000 6.1349 0.0000
0.0000 0.0000 5.3200
Ba Sr Mg Ni
2 1 1 1
Cartesian
0.0000 3.0674 0.0000
3.0674 0.0000 0.0000
0.0000 0.0000 2.6600
3.0674 3.0674 2.6600
3.0674 3.0674 0.0000
```

Computed properties:
Excess energy over the best structure of this formula in the dataset: 0.011 eV/atom
Density: 3.7 g/cm3
Space group: P4/mmm
Formation energy: 0.06 eV per atom
Density of states at the Fermi level: 0.92 states/eV/atom



(8)
Compound: BaSrMgNi2
Source: Alexandria
Functional: PBE
Structure: relaxed

```
BaSrMgNi2
1.0
5.0370 0.0000 0.0000
0.0000 5.0370 0.0000
0.0000 0.0000 5.4935
Ba Sr Mg Ni
1 1 1 2
Cartesian
0.0000 0.0000 0.0000
2.5185 2.5185 0.0000
2.5185 2.5185 2.7467
0.0000 2.5185 2.7467
2.5185 0.0000 2.7467
```

Computed properties:
Density: 4.4 g/cm3
Space group: P4/mmm
Formation energy: 0.65 eV per atom
Density of states at the Fermi level: 1.34 states/eV/atom



(9)
Compound: Ba2SrMgNi
Source: Alexandria
Functional: PBE
Structure: relaxed

```
Ba2SrMgNi
1.0
6.0448 0.0000 0.0000
0.0000 6.0448 0.0000
0.0000 0.0000 5.8613
Ba Sr Mg Ni
2 1 1 1
Cartesian
0.0000 3.0224 0.0000
3.0224 0.0000 0.0000
0.0000 0.0000 2.9307
3.0224 3.0224 2.9307
0.0000 0.0000 0.0000
```

Computed properties:
Excess energy over the best structure of this formula in the dataset: 0.000 eV/atom
Density: 3.5 g/cm3
Space group: P4/mmm
Formation energy: 0.05 eV per atom
Density of states at the Fermi level: 0.73 states/eV/atom



(10)
Compound: BaMgTl2Ni
Source: Alexandria
Functional: PBE
Structure: relaxed

```
BaMgTl2Ni
1.0
5.2000 0.0000 0.0000
0.0000 5.2000 0.0000
0.0000 0.0000 5.0824
Ba Mg Tl Ni
1 1 2 1
Cartesian
0.0000 0.0000 0.0000
2.6000 2.6000 0.0000
0.0000 2.6000 2.5412
2.6000 0.0000 2.5412
2.6000 2.6000 2.5412
```

Computed properties:
Density: 7.6 g/cm3
Space group: P4/mmm
Formation energy: -0.15 eV per atom
Density of states at the Fermi level: 0.64 states/eV/atom



(11)
Compound: BaYMg2Ni
Source: Alexandria
Functional: PBE
Structure: relaxed

```
BaYMg2Ni
1.0
5.2630 0.0000 0.0000
0.0000 5.2630 0.0000
0.0000 0.0000 5.1079
Ba Y Mg Ni
1 1 2 1
Cartesian
0.0000 0.0000 0.0000
2.6315 2.6315 0.0000
0.0000 2.6315 2.5540
2.6315 0.0000 2.5540
2.6315 2.6315 2.5540
```

Computed properties:
Density: 3.9 g/cm3
Space group: P4/mmm
Formation energy: -0.08 eV per atom
Density of states at the Fermi level: 0.60 states/eV/atom



(12)
Compound: Ba2MgZnNi
Source: Alexandria
Functional: PBE
Structure: relaxed

```
Ba2MgZnNi
1.0
5.9968 0.0000 0.0000
0.0000 5.9968 0.0000
0.0000 0.0000 4.7713
Ba Mg Zn Ni
2 1 1 1
Cartesian
0.0000 2.9984 0.0000
2.9984 0.0000 0.0000
0.0000 0.0000 2.3856
2.9984 2.9984 2.3856
2.9984 2.9984 0.0000
```

Computed properties:
Excess energy over the best structure of this formula in the dataset: 0.000 eV/atom
Density: 4.1 g/cm3
Space group: P4/mmm
Formation energy: 0.01 eV per atom
Density of states at the Fermi level: 0.94 states/eV/atom



(13)
Compound: BaMgZn2Ni
Source: Alexandria
Functional: PBE
Structure: relaxed

```
BaMgZn2Ni
1.0
4.8637 0.0000 0.0000
0.0000 4.8637 0.0000
0.0000 0.0000 4.8838
Ba Mg Zn Ni
1 1 2 1
Cartesian
0.0000 0.0000 0.0000
2.4318 2.4318 0.0000
0.0000 2.4318 2.4419
2.4318 0.0000 2.4419
2.4318 2.4318 2.4419
```

Computed properties:
Density: 5.0 g/cm3
Space group: P4/mmm
Formation energy: -0.14 eV per atom
Density of states at the Fermi level: 0.77 states/eV/atom



(14)
Compound: Ba2MgZnNi
Source: Alexandria
Functional: PBE
Structure: relaxed

```
Ba2MgZnNi
1.0
5.9358 0.0000 0.0000
0.0000 5.9358 0.0000
0.0000 0.0000 4.9968
Ba Mg Zn Ni
2 1 1 1
Cartesian
0.0000 2.9679 0.0000
2.9679 0.0000 0.0000
0.0000 0.0000 2.4984
2.9679 2.9679 2.4984
0.0000 0.0000 0.0000
```

Computed properties:
Excess energy over the best structure of this formula in the dataset: 0.020 eV/atom
Density: 4.0 g/cm3
Space group: P4/mmm
Formation energy: 0.03 eV per atom
Density of states at the Fermi level: 0.65 states/eV/atom



(15)
Compound: BaMgZrNi2
Source: Alexandria
Functional: PBE
Structure: relaxed

```
BaMgZrNi2
1.0
4.8628 0.0000 0.0000
0.0000 4.8628 0.0000
0.0000 0.0000 5.4341
Ba Mg Zr Ni
1 1 1 2
Cartesian
0.0000 0.0000 0.0000
0.0000 0.0000 2.7171
2.4314 2.4314 2.7171
0.0000 2.4314 0.0000
2.4314 0.0000 0.0000
```

Computed properties:
Density: 4.8 g/cm3
Space group: P4/mmm
Formation energy: 1.54 eV per atom
Density of states at the Fermi level: 1.42 states/eV/atom



(16)
Compound: Ba2MgZrNi
Source: Alexandria
Functional: PBE
Structure: relaxed

```
Ba2MgZrNi
1.0
6.0917 0.0000 0.0000
0.0000 6.0917 0.0000
0.0000 0.0000 5.5182
Ba Mg Zr Ni
2 1 1 1
Cartesian
0.0000 3.0459 0.0000
3.0459 0.0000 0.0000
0.0000 0.0000 2.7591
0.0000 0.0000 0.0000
3.0459 3.0459 2.7591
```

Computed properties:
Density: 3.6 g/cm3
Space group: P4/mmm
Formation energy: 1.20 eV per atom
Density of states at the Fermi level: 2.50 states/eV/atom



(17)
Compound: Ba4MgNp3O12
Source: Alexandria
Functional: PBE
Structure: relaxed

```
Ba4MgNp3O12
1.0
-4.3400 4.3400 4.3400
4.3400 -4.3400 4.3400
4.3400 4.3400 -4.3400
Ba Mg Np O
4 1 3 12
Cartesian
2.1700 2.1700 -2.1700
2.1700 -2.1700 2.1700
-2.1700 2.1700 2.1700
2.1700 2.1700 2.1700
0.0000 0.0000 0.0000
4.3400 0.0000 0.0000
0.0000 4.3400 0.0000
0.0000 0.0000 4.3400
2.2224 0.0000 0.0000
6.4575 0.0000 0.0000
4.3400 2.1700 0.0000
4.3400 0.0000 2.1700
0.0000 2.2224 0.0000
0.0000 0.0000 2.2224
2.1700 4.3400 0.0000
2.1700 0.0000 4.3400
0.0000 6.4575 0.0000
0.0000 0.0000 6.4575
0.0000 4.3400 2.1700
0.0000 2.1700 4.3400
```

Computed properties:
Density: 7.5 g/cm3
Space group: Im-3m
Density of states at the Fermi level: 0.50 states/eV/atom
ΔE_f (raw): -2941 meV/atom



(18)
Compound: Ba3Mg2NpO8
Source: Alexandria
Functional: PBE
Structure: relaxed

```
Ba3Mg2NpO8
1.0
5.9852 0.0000 0.0000
-2.9926 5.1833 0.0000
0.0000 0.0000 7.7043
Ba Mg Np O
3 2 1 8
Cartesian
0.0000 0.0000 0.0000
0.0000 3.4555 5.1303
2.9926 1.7278 2.5740
0.0000 3.4555 1.6506
2.9926 1.7278 6.0537
0.0000 0.0000 3.8521
0.0000 1.6721 2.6093
-1.5445 4.3472 2.6093
1.4481 0.8361 5.0950
0.0000 3.4555 7.4825
2.9926 1.7278 0.2218
1.5445 4.3472 2.6093
4.5371 0.8361 5.0950
2.9926 3.5112 5.0950
```

Computed properties:
Density: 5.7 g/cm3
Space group: P-3m1
ΔE_f (raw): -2668 meV/atom



(19)
Compound: Ba2MgNpSe5
Source: Alexandria
Functional: PBE
Structure: relaxed

```
Ba2MgNpSe5
1.0
2.1885 -9.3513 0.0000
2.1885 9.3513 0.0000
0.0000 0.0000 13.4537
Ba Mg Np Se
4 2 2 10
Cartesian
2.1885 7.3268 6.7268
2.1885 6.9792 1.7174
2.1885 -6.9792 8.4443
2.1885 -7.3268 0.0000
2.1885 0.9937 3.5282
2.1885 -0.9937 10.2551
2.1885 5.4546 11.1968
2.1885 -5.4546 4.4699
2.1885 8.2651 11.6399
2.1885 3.9977 6.3146
2.1885 3.5891 2.5946
2.1885 2.6829 11.0039
2.1885 0.0426 7.9635
2.1885 -0.0426 1.2367
2.1885 -2.6829 4.2771
2.1885 -3.5891 9.3214
2.1885 -3.9977 13.0414
2.1885 -8.2651 4.9130
```

Computed properties:
Density: 5.6 g/cm3
Space group: Cmc2_1
Density of states at the Fermi level: 0.95 states/eV/atom
ΔE_f (raw): -1555 meV/atom



(20)
Compound: Ba2MgO
Source: Alexandria
Functional: PBE
Structure: relaxed

```
Ba2MgO
1.0
0.0000 3.9843 3.9843
3.9843 0.0000 3.9843
3.9843 3.9843 0.0000
Ba Mg O
2 1 1
Cartesian
1.9921 1.9921 1.9921
5.9764 5.9764 5.9764
0.0000 0.0000 0.0000
3.9843 3.9843 3.9843
```

Computed properties:
Excess energy over the best structure of this formula in the dataset: 0.879 eV/atom
Density: 4.1 g/cm3
Space group: Fm-3m
Density of states at the Fermi level: 1.53 states/eV/atom
ΔE_f (raw): -268 meV/atom